# 1
This record from Alexandria describes a relaxed FeBiIrRh2 crystal. The functional is PBE.

abc: 4.398 4.845 4.398
angles: 90.00 90.00 90.00
Positions (direct):
Ir: 0.500 0.500 0.500
Rh: 0.000 0.000 0.500
Rh: 0.500 0.000 0.000
Bi: 0.000 0.500 0.000
Fe: 0.000 0.000 0.000

Computed properties:
E_form ... 1.24 eV/atom
Symmetry ... No. 123
Crystal system ... tetragonal


# 2
This record from Alexandria describes a relaxed FeSi2BiIr crystal. The functional is PBE.

abc: 4.312 4.970 4.312
angles: 90.00 90.00 90.00
Positions (direct):
Si: 0.000 0.000 0.500
Si: 0.500 0.000 0.000
Ir: 0.000 0.500 0.000
Bi: 0.500 0.500 0.500
Fe: 0.000 0.000 0.000

Computed properties:
Energy relative to the elements, uncorrected ... 2.49 eV per formula unit
Symmetry ... No. 123
Crystal system ... tetragonal


# 3
This record from Alexandria describes a relaxed Fe2BiIrW crystal. The functional is PBE.

abc: 4.466 5.256 4.466
angles: 90.00 90.00 90.00
Positions (direct):
Ir: 0.500 0.500 0.500
Bi: 0.000 0.500 0.000
W: 0.000 0.000 0.000
Fe: 0.000 0.000 0.500
Fe: 0.500 0.000 0.000

Computed properties:
E_form ... 1.81 eV/atom
Symmetry ... No. 123
Crystal system ... tetragonal


# 4
This record from Alexandria describes a relaxed KFeBi2 crystal. The functional is PBE.

abc: 5.346 5.346 5.346
angles: 60.00 60.00 60.00
Positions (direct):
K: 0.000 0.000 0.000
Bi: 0.250 0.250 0.250
Bi: 0.750 0.750 0.750
Fe: 0.500 0.500 0.500

Computed properties:
E_form ... 0.46 eV/atom
Symmetry ... No. 225
Crystal system ... cubic


# 5
This record from Alexandria describes a relaxed K3FeBi crystal. The functional is PBE.

abc: 6.161 6.161 6.161
angles: 90.00 90.00 90.00
Positions (direct):
K: 0.000 0.500 0.000
K: 0.000 0.000 0.500
K: 0.500 0.000 0.000
Bi: 0.500 0.500 0.500
Fe: 0.000 0.000 0.000

Computed properties:
E_form ... 0.71 eV/atom
Symmetry ... No. 221
Crystal system ... cubic


# 6
This record from Alexandria describes a relaxed KFe2Bi crystal. The functional is PBE.

abc: 4.734 4.734 9.812
angles: 76.04 76.04 90.00
Positions (direct):
K: 0.500 0.500 0.000
K: 0.250 0.750 0.500
Bi: 0.000 0.000 0.000
Bi: 0.750 0.250 0.500
Fe: 0.881 0.125 0.250
Fe: 0.869 0.625 0.250
Fe: 0.375 0.119 0.750
Fe: 0.875 0.131 0.750

Computed properties:
E_form ... 0.78 eV/atom
Symmetry ... No. 122
Crystal system ... tetragonal


# 7
This record from Alexandria describes a relaxed K2FeBi2 crystal. The functional is PBE.

abc: 7.083 7.083 6.040
angles: 90.00 90.00 90.00
Positions (direct):
K: 0.171 0.671 0.500
K: 0.671 0.829 0.500
K: 0.829 0.329 0.500
K: 0.329 0.171 0.500
Bi: 0.341 0.841 0.000
Bi: 0.841 0.659 0.000
Bi: 0.659 0.159 0.000
Bi: 0.159 0.341 0.000
Fe: 0.000 0.000 0.000
Fe: 0.500 0.500 0.000

Computed properties:
E_form ... 0.16 eV/atom
Symmetry ... No. 127
Crystal system ... tetragonal


# 8
This record from Alexandria describes a relaxed KFeBi2 crystal. The functional is PBE.

abc: 8.570 8.570 6.936
angles: 51.84 51.84 90.00
Positions (direct):
K: 0.500 0.500 0.000
K: 0.250 0.750 0.500
Bi: 0.704 0.125 0.250
Bi: 0.046 0.625 0.250
Bi: 0.375 0.296 0.750
Bi: 0.875 0.954 0.750
Fe: 0.000 0.000 0.000
Fe: 0.750 0.250 0.500

Computed properties:
E_form ... 0.26 eV/atom
Symmetry ... No. 122
Crystal system ... tetragonal


| no. | calculated volume (Å³ per atom) | final energy (eV for the cell shown) |
| --- | --- | --- |
| 1 | 18.740 | -29.73 |
| 2 | 18.481 | -29.56 |
| 3 | 20.963 | -33.56 |
| 4 | 27.011 | -15.50 |
| 5 | 46.780 | -12.08 |
| 6 | 25.835 | -37.57 |
| 7 | 30.298 | -35.24 |
| 8 | 30.968 | -32.54 |